# 1
TlIn6Pb8 | PBE-GGA | relaxed

```
data_TlIn6Pb8
_symmetry_space_group_name_H-M 'P -3'
_symmetry_Int_Tables_number 147
_cell_length_a 9.8839
_cell_length_b 9.8839
_cell_length_c 5.7765
_cell_angle_alpha 90.00
_cell_angle_beta 90.00
_cell_angle_gamma 120.00
loop_
_symmetry_equiv_pos_as_xyz
'x,y,z'
'-x,-y,-z'
'-y,x-y,z'
'y,-x+y,-z'
'-x+y,-x,z'
'x-y,x,-z'
loop_
_atom_site_label
_atom_site_type_symbol
_atom_site_fract_x
_atom_site_fract_y
_atom_site_fract_z
Tl1 Tl 0.0000 0.0000 0.0000
In1 In 0.1385 0.4640 0.9200
Pb1 Pb 0.0197 0.6836 0.5948
Pb2 Pb 0.3333 0.6667 0.3949
```

Summary:
E: -3.148 eV per atom
N(E_F): 7.2 states/eV/cell
Total magnetization: 0.00 μB per cell
Energy relative to the elements: 83 meV/atom

# 2
YErZnIr | PBE-GGA | relaxed

```
data_YErZnIr
_symmetry_space_group_name_H-M 'F -4 3 m'
_symmetry_Int_Tables_number 216
_symmetry_space_group_name_Hall 'F -4 2 3'
_cell_length_a 6.945
_cell_length_b 6.945
_cell_length_c 6.945
_cell_angle_alpha 90.00
_cell_angle_beta 90.00
_cell_angle_gamma 90.00
loop_
_atom_site_label
_atom_site_type_symbol
_atom_site_fract_x
_atom_site_fract_y
_atom_site_fract_z
Y1 Y 0.000 0.000 0.000
Er1 Er 0.000 0.000 0.500
Zn1 Zn 0.250 0.250 0.250
Ir1 Ir 0.250 0.250 0.750
```

Summary:
E: -5.935 eV per atom
N(E_F): 11.5 states/eV/cell
Total magnetization: 0.00 μB per cell
Energy relative to the elements: -645 meV/atom

Q: Look up the energy relative to the elements of the first one.
A: 83 meV/atom